The following is a GGA-PBE calculation of a geometry-optimized ZrZnCdHg structure, from Alexandria via LeMat-Bulk.

Its final energy is -2.884 eV per atom. The formation energy from the elements is -0.12 eV/atom.

a = 4.071 Å, b = 4.394 Å, c = 4.516 Å
α = 90.00°, β = 90.00°, γ = 90.00°
Space group Pmmm (No. 47)
Inequivalent atoms, fractional coordinates:
Zr: 0.000 0.000 0.000
Zn: 0.500 0.500 0.000
Cd: 0.000 0.500 0.500
Hg: 0.500 0.000 0.500